No. 1
## Y2Te3Au (PBE)

Data for crystalline Y2Te3Au at its relaxed geometry.

The structure belongs to space group Pnma (No. 62); the cell edges are 10.849, 4.111 and 14.843 Å and the angles 90.00°, 90.00° and 90.00°. The asymmetric unit holds Y at (0.014, 0.250, 0.249), Y at (0.236, 0.750, 0.530), Te at (0.038, 0.250, 0.599), Te at (0.064, 0.750, 0.095), Te at (0.237, 0.750, 0.863) and Au at (0.242, 0.250, 0.722).

No. 2
## ZnTeAu (PBE)

Data for crystalline ZnTeAu at its relaxed geometry.

The structure belongs to space group F-43m (No. 216); the cell edges are 6.591, 6.591 and 6.591 Å and the angles 90.00°, 90.00° and 90.00°. The asymmetric unit holds Zn at (0.000, 0.000, 0.000), Te at (0.000, 0.000, 0.500) and Au at (0.250, 0.250, 0.750).

No. 3
## Zr3Te5Au (PBE)

Data for crystalline Zr3Te5Au at its relaxed geometry.

The structure belongs to space group P6/mmm (No. 191); the cell edges are 6.2749, 6.2749 and 8.2389 Å and the angles 90.00°, 90.00° and 120.00°. The asymmetric unit holds Zr at (0.0000, 0.5000, 0.0000), Te at (0.0000, 0.0000, 0.0000), Te at (0.3333, 0.6667, 0.2755) and Au at (0.0000, 0.0000, 0.5000).

No. 4
## ThAu2 (PBE)

Data for crystalline ThAu2 at its relaxed geometry.

The structure belongs to space group P6/mmm (No. 191); the cell edges are 4.8209, 4.8209 and 3.4472 Å and the angles 90.00°, 90.00° and 120.00°. The asymmetric unit holds Th at (0.0000, 0.0000, 0.0000) and Au at (0.3333, 0.6667, 0.5000).

No. 5
## Th2Au (PBE)

Data for crystalline Th2Au at its relaxed geometry.

The structure belongs to space group Fd-3m (No. 227, origin choice 2); the cell edges are 12.916, 12.916 and 12.916 Å and the angles 90.00°, 90.00° and 90.00°. The asymmetric unit holds Th at (0.000, 0.000, 0.000) and Au at (0.125, 0.125, 0.125).

No. 6
## ThWAu (PBE)

Data for crystalline ThWAu at its relaxed geometry.

The structure belongs to space group F-43m (No. 216); the cell edges are 6.632, 6.632 and 6.632 Å and the angles 90.00°, 90.00° and 90.00°. The asymmetric unit holds Th at (0.000, 0.000, 0.000), W at (0.250, 0.250, 0.250) and Au at (0.000, 0.000, 0.500).

No. 7
## ThWAu (PBE)

Data for crystalline ThWAu at its relaxed geometry.

The structure belongs to space group F-43m (No. 216); the cell edges are 6.894, 6.894 and 6.894 Å and the angles 90.00°, 90.00° and 90.00°. The asymmetric unit holds Th at (0.000, 0.000, 0.000), W at (0.250, 0.250, 0.250) and Au at (0.250, 0.250, 0.750).

No. 8
## YThAu (PBE)

Data for crystalline YThAu at its relaxed geometry.

The structure belongs to space group F-43m (No. 216); the cell edges are 6.971, 6.971 and 6.971 Å and the angles 90.00°, 90.00° and 90.00°. The asymmetric unit holds Y at (0.000, 0.000, 0.000), Th at (0.250, 0.250, 0.250) and Au at (0.250, 0.250, 0.750).

No. 9
## Th2Zn15Au2 (PBE)

Data for crystalline Th2Zn15Au2 at its relaxed geometry.

The structure belongs to space group R-3m (No. 166, hexagonal axes); the cell edges are 9.0817, 9.0817 and 13.3438 Å and the angles 90.00°, 90.00° and 120.00°. The asymmetric unit holds Th at (0.0000, 0.0000, 0.1586), Zn at (0.0000, 0.2909, 0.5000), Zn at (0.0000, 0.5000, 0.0000), Zn at (0.0095, 0.5048, 0.6528) and Au at (0.0000, 0.0000, 0.3897).

No. 10
## Th2ZnAu3 (PBE)

Data for crystalline Th2ZnAu3 at its relaxed geometry.

The structure belongs to space group Fmmm (No. 69); the cell edges are 6.915, 9.506 and 16.478 Å and the angles 90.00°, 90.00° and 90.00°. The asymmetric unit holds Th at (0.242, 0.000, 0.000), Th at (0.250, 0.250, 0.250), Zn at (0.000, 0.000, 0.333), Au at (0.000, 0.000, 0.172) and Au at (0.000, 0.240, 0.414).

No. 11
## ThZn6Au6 (PBE)

Data for crystalline ThZn6Au6 at its relaxed geometry.

The structure belongs to space group Immm (No. 71); the cell edges are 5.251, 9.130 and 9.554 Å and the angles 90.00°, 90.00° and 90.00°. The asymmetric unit holds Th at (0.000, 0.000, 0.000), Zn at (0.000, 0.256, 0.500), Zn at (0.250, 0.250, 0.250), Au at (0.000, 0.000, 0.341), Au at (0.000, 0.335, 0.000) and Au at (0.000, 0.500, 0.322).

No. 12
## Tl2Au (PBE)

Data for crystalline Tl2Au at its relaxed geometry.

The structure belongs to space group P-1 (No. 2); the cell edges are 7.158, 7.185 and 7.666 Å and the angles 63.76°, 76.78° and 60.54°. The asymmetric unit holds Tl at (0.114, 0.303, 0.375), Tl at (0.187, 0.786, 0.222), Tl at (0.331, 0.740, 0.653), Tl at (0.371, 0.171, 0.750), Au at (0.015, 0.280, 0.030) and Au at (0.420, 0.331, 0.034).

No. 13
## Tl5Au (PBE)

Data for crystalline Tl5Au at its relaxed geometry.

The structure belongs to space group Pnma (No. 62); the cell edges are 7.140, 15.102 and 6.451 Å and the angles 90.00°, 90.00° and 90.00°. The asymmetric unit holds Tl at (0.059, 0.124, 0.143), Tl at (0.130, 0.750, 0.380), Tl at (0.157, 0.057, 0.656) and Au at (0.250, 0.250, 0.438).

No. 14
## Tl2Au (PBE)

Data for crystalline Tl2Au at its relaxed geometry.

The structure belongs to space group R-3m (No. 166, hexagonal axes); the cell edges are 4.6353, 4.6353 and 86.7276 Å and the angles 90.00°, 90.00° and 120.00°. The asymmetric unit holds Tl at (0.0000, 0.0000, 0.0618), Tl at (0.0000, 0.0000, 0.1451), Tl at (0.0000, 0.0000, 0.2284), Tl at (0.0000, 0.0000, 0.3118), Au at (0.0000, 0.0000, 0.0000), Au at (0.0000, 0.0000, 0.4167) and Au at (0.0000, 0.0000, 0.5000).

No. 15
## Tl7Au4 (PBE)

Data for crystalline Tl7Au4 at its relaxed geometry.

The structure belongs to space group C2/m (No. 12); the cell edges are 17.634, 3.938 and 16.560 Å and the angles 90.00°, 104.77° and 90.00°. The asymmetric unit holds Tl at (0.000, 0.000, 0.000), Tl at (0.000, 0.500, 0.500), Tl at (0.003, 0.000, 0.671), Tl at (0.070, 0.500, 0.177), Tl at (0.168, 0.500, 0.965), Tl at (0.182, 0.000, 0.542), Tl at (0.196, 0.000, 0.306), Tl at (0.205, 0.000, 0.799), Au at (0.062, 0.000, 0.853), Au at (0.128, 0.500, 0.402), Au at (0.130, 0.500, 0.659) and Au at (0.173, 0.000, 0.105).

Values of DFT total energy, in order: -5.303; -2.559; -5.387; -5.373; -4.248; -7.137; -6.732; -5.365; -2.398; -4.979; -3.010; -2.671; -2.525; -2.474; -2.693, all in eV per atom.